A plane-wave DFT calculation with PBE was carried out for a geometry-optimized PmTc3B3 structure.

The space group is P6_3/m (No. 176) and the conventional cell measures 8.2319, 8.2319 and 3.1000 Å, with angles of 90.00, 90.00 and 120.00 degrees. The distinct sites, in fractional coordinates, are Pm at (0.3333, 0.6667, 0.2500), Tc at (0.0575, 0.3038, 0.7500) and B at (0.0331, 0.5656, 0.7500).



A plane-wave DFT calculation with PBE was carried out for a geometry-optimized Pm2TcB2 structure.

The space group is Ibam (No. 72) and the conventional cell measures 6.4323, 10.5839 and 5.5125 Å, with angles of 90.00, 90.00 and 90.00 degrees. The distinct sites, in fractional coordinates, are Pm at (0.1548, 0.1525, 0.0000), Tc at (0.0000, 0.5000, 0.2500) and B at (0.2078, 0.4063, 0.0000).



A plane-wave DFT calculation with PBE was carried out for a geometry-optimized Pm2Tc3B4 structure.

The space group is P2_1/c (No. 14) and the conventional cell measures 6.4695, 6.2794 and 6.2062 Å, with angles of 90.00, 91.39 and 90.00 degrees. The distinct sites, in fractional coordinates, are Pm at (0.1720, 0.1656, 0.1730), Tc at (0.3087, 0.6845, 0.3185), Tc at (0.5000, 0.0000, 0.5000), B at (0.1203, 0.5747, 0.0253) and B at (0.4939, 0.1063, 0.8871).



A plane-wave DFT calculation with PBE was carried out for a geometry-optimized PmTc2B6 structure.

The space group is C2/m (No. 12) and the conventional cell measures 8.7693, 5.1279 and 4.6537 Å, with angles of 90.00, 109.21 and 90.00 degrees. The distinct sites, in fractional coordinates, are Pm at (0.0000, 0.0000, 0.0000), Tc at (0.1612, 0.5000, 0.9167), B at (0.0000, 0.3300, 0.5000) and B at (0.1967, 0.1785, 0.6225).

The calculation puts the energy above the most stable polymorph in this dataset at 3.86 eV/f.u.



A plane-wave DFT calculation with PBE was carried out for a geometry-optimized PmTc2B6 structure.

The space group is Immm (No. 71) and the conventional cell measures 3.1814, 6.7916 and 8.5726 Å, with angles of 90.00, 90.00 and 90.00 degrees. The distinct sites, in fractional coordinates, are Pm at (0.0000, 0.0000, 0.0000), Tc at (0.0000, 0.5000, 0.1616), B at (0.0000, 0.1471, 0.5000) and B at (0.0000, 0.2413, 0.3084).

The calculation puts the energy above the most stable polymorph in this dataset at 0.00 eV/f.u.



A plane-wave DFT calculation with PBE was carried out for a geometry-optimized PmTc4B2 structure.

The space group is Cmmm (No. 65) and the conventional cell measures 4.0546, 13.3482 and 4.0187 Å, with angles of 90.00, 90.00 and 90.00 degrees. The distinct sites, in fractional coordinates, are Pm at (0.0000, 0.0000, 0.0000), Tc at (0.0000, 0.1801, 0.5000), Tc at (0.0000, 0.3082, 0.0000) and B at (0.0000, 0.3781, 0.5000).



no.,formation energy (meV/atom),N(E_F) (states/eV per cell)
1,-198.8,7.2
2,-137.6,15.2
3,-313.4,10.3
4,-27.6,7.7
5,-456.8,6.9
6,-130.3,13.0